# 1
Computed, not measured: an optimized crystal structure of Cs6K3Cl at the PBE-GGA level of DFT.

Density of states at the Fermi level in states/eV/atom: 0.801
Magnetization in μB/atom: 0.000
Total DFT energy (no corrections) in eV for the cell shown: -27.73
Space group: Cmcm (63)

extended XYZ file:
```
20
Lattice="7.0902 0.0000 0.0000 0.0000 15.7141 -1.7575 0.0000 0.8823 15.7874" Properties=species:S:1:pos:R:3 pbc="T T T"
Cs 1.0535 12.2445 7.9333
Cs 4.5986 9.8606 10.7534
Cs 1.0529 7.1643 13.6717
Cs 4.5980 14.6734 4.7890
Cs 1.0517 2.0976 14.3499
Cs 4.5990 4.4882 11.5220
Cs 1.0539 12.1083 2.5079
Cs 4.5969 14.4989 -0.3200
Cs 1.0529 1.9230 9.2409
Cs 4.5980 9.4321 0.3582
Cs 1.0535 6.7359 3.2766
Cs 4.5986 4.3519 6.0966
K 4.5979 14.8851 10.3031
K 1.0528 12.6367 12.9627
K 1.0533 7.1452 8.3789
K 4.5984 9.4513 5.6510
K 1.0528 1.7113 3.7268
K 4.5979 3.9597 1.0672
Cl 1.0542 4.3064 11.7371
Cl 4.5993 12.2901 2.2929
```

=====

# 2
Computed, not measured: an optimized crystal structure of Pm6SiSn6 at the PBE-GGA level of DFT.

Density of states at the Fermi level in states/eV/atom: 0.476
Magnetization in μB/atom: 0.000
Total DFT energy (no corrections) in eV for the cell shown: -65.06
Space group: P6/mmm (191)

extended XYZ file:
```
13
Lattice="6.5196 -0.0001 0.0000 -3.2591 5.6465 0.0000 0.0000 0.0000 10.5768" Properties=species:S:1:pos:R:3 pbc="T T T"
Pm 0.0000 0.0000 7.7575
Pm 0.0000 0.0000 2.8193
Pm 0.0005 3.7643 0.0000
Pm 3.2600 1.8821 0.0000
Pm 0.0005 3.7643 5.2884
Pm 3.2600 1.8821 5.2884
Si 0.0000 0.0000 0.0000
Sn -1.6295 2.8232 7.8959
Sn 3.2598 -0.0001 7.8959
Sn 1.6302 2.8232 7.8958
Sn 3.2598 -0.0001 2.6809
Sn -1.6295 2.8232 2.6809
Sn 1.6302 2.8232 2.6809
```

=====

# 3
Computed, not measured: an optimized crystal structure of TbNd2Sn2Hg2 at the PBE-GGA level of DFT.

Density of states at the Fermi level in states/eV/atom: 0.782
Magnetization in μB/atom: 0.000
Total DFT energy (no corrections) in eV for the cell shown: -25.12
Space group: R-3m (166)

extended XYZ file:
```
7
Lattice="5.0030 0.0000 0.0000 2.5015 4.3327 0.0000 2.5015 1.4442 9.1883" Properties=species:S:1:pos:R:3 pbc="T T T"
Tb 0.0000 0.0000 0.0000
Nd 2.5015 1.4442 5.6151
Nd 7.5045 4.3327 3.5732
Sn 7.5045 4.3327 7.5588
Sn 2.5015 1.4442 1.6295
Hg 5.0030 2.8885 2.5457
Hg 5.0030 2.8885 6.6426
```

=====

# 4
Computed, not measured: an optimized crystal structure of Nd4TlGa at the PBE-GGA level of DFT.

Density of states at the Fermi level in states/eV/atom: 0.937
Magnetization in μB/atom: 0.000
Total DFT energy (no corrections) in eV for the cell shown: -52.79
Space group: P2_1/m (11)

extended XYZ file:
```
12
Lattice="0.1954 -1.1501 -5.2371 -0.2211 -6.7678 1.4780 -9.7498 1.3737 4.8316" Properties=species:S:1:pos:R:3 pbc="T T T"
Nd -3.9227 -1.8884 -1.1089
Nd -5.8529 -4.6557 2.1813
Nd -8.8306 -1.1997 1.3108
Nd -0.9450 -5.3445 -0.2383
Nd -2.9815 -6.3699 2.6581
Nd -6.9015 -3.4628 -0.8675
Nd -2.8741 -3.0813 1.9400
Nd -6.7940 -0.1743 -1.5857
Tl -0.8002 -1.9604 -0.9713
Tl -8.9753 -4.5837 2.0438
Ga -5.6939 -1.2741 1.4394
Ga -4.0816 -5.2701 -0.3670
```

=====

# 5
Computed, not measured: an optimized crystal structure of LaScIr2 at the PBE-GGA level of DFT.

Density of states at the Fermi level in states/eV/atom: 0.510
Magnetization in μB/atom: 0.000
Total DFT energy (no corrections) in eV for the cell shown: -31.46
Space group: R-3m (166)

extended XYZ file:
```
4
Lattice="5.6252 -0.0305 -0.0197 3.8849 4.0683 -0.0197 3.8849 1.6494 3.7189" Properties=species:S:1:pos:R:3 pbc="T T T"
Ir 0.3871 0.1644 0.1063
Ir 6.3104 2.6792 1.7334
La 3.3488 1.4218 0.9199
Sc 10.0463 4.2654 2.7596
```

=====

# 6
Computed, not measured: an optimized crystal structure of Ca4ScTl5 at the PBE-GGA level of DFT.

Density of states at the Fermi level in states/eV/atom: 0.551
Magnetization in μB/atom: 0.000
Total DFT energy (no corrections) in eV for the cell shown: -30.12
Space group: P4/mmm (123)

extended XYZ file:
```
10
Lattice="3.8195 0.0000 0.0000 0.0000 3.8195 0.0000 0.0000 0.0000 19.2155" Properties=species:S:1:pos:R:3 pbc="T T T"
Ca 0.0000 0.0000 3.7036
Ca 0.0000 0.0000 7.6243
Ca 0.0000 0.0000 11.5912
Ca 0.0000 0.0000 15.5118
Sc 0.0000 0.0000 0.0000
Tl 1.9098 1.9098 1.6924
Tl 1.9098 1.9098 5.6702
Tl 1.9098 1.9098 9.6077
Tl 1.9098 1.9098 13.5453
Tl 1.9098 1.9098 17.5231
```

=====

# 7
Computed, not measured: an optimized crystal structure of TcRuO2 at the PBE-GGA level of DFT.

Density of states at the Fermi level in states/eV/atom: 0.611
Magnetization in μB/atom: 0.000
Total DFT energy (no corrections) in eV for the cell shown: -60.70
Space group: I-42d (122)

extended XYZ file:
```
8
Lattice="4.6807 0.0000 0.0000 0.0000 4.6807 0.0000 2.3404 2.3404 4.6107" Properties=species:S:1:pos:R:3 pbc="T T T"
Ru 0.0000 0.0000 0.0000
Ru 4.6807 2.3404 2.3054
Tc 2.3404 2.3404 0.0000
Tc 2.3404 4.6807 2.3054
O 3.4576 1.1702 1.1527
O 1.2231 3.5105 1.1527
O 3.5105 3.5635 3.4580
O 5.8509 5.7979 3.4580
```

=====

# 8
Computed, not measured: an optimized crystal structure of CsRbIn2I8 at the PBE-GGA level of DFT.

Density of states at the Fermi level in states/eV/atom: 0.000
Magnetization in μB/atom: 0.000
Total DFT energy (no corrections) in eV for the cell shown: -30.33
Space group: R-3 (148)

extended XYZ file:
```
12
Lattice="8.0824 0.0000 0.0000 4.0412 6.9995 0.0000 4.0412 2.3332 11.3492" Properties=species:S:1:pos:R:3 pbc="T T T"
Cs 8.0824 4.6663 5.6746
Rb 0.0000 0.0000 0.0000
In 4.0412 2.3332 3.0857
In 12.1235 6.9995 8.2636
I 4.0412 2.3332 5.8396
I 6.6268 2.7621 2.1998
I 12.1235 6.9995 5.5096
I 10.4593 4.3579 2.1998
I 5.7054 4.9748 9.1494
I 7.1610 6.8791 2.1998
I 9.0037 2.4536 9.1494
I 9.5379 6.5706 9.1494
```